The following is a DFT calculation (PBE) of a relaxed structure of Mg6BiPt2.

POSCAR file:
```
Mg6BiPt2
1.0
7.579 0.049 -2.690
-4.353 6.532 -1.751
-0.216 -0.049 8.039
Pt Bi Mg
4 2 12
direct
0.672 0.000 0.672
0.500 0.637 0.137
0.328 0.000 0.328
0.500 0.363 0.863
0.000 0.500 0.500
0.000 0.000 0.000
0.886 0.703 0.183
0.480 0.297 0.183
0.772 0.247 0.019
0.313 0.970 0.657
0.687 0.030 0.343
0.313 0.656 0.343
0.687 0.344 0.657
0.228 0.753 0.981
0.520 0.703 0.817
0.228 0.247 0.476
0.114 0.297 0.817
0.772 0.753 0.524
```

Properties
DOS(E_F)	0.496	states/eV/atom
space group	Immm, No. 71
theoretical density	6.27	g cm⁻³
energy relative to the elements	-4.1	eV per formula unit
calculated total energy	-3.297	eV per atom